Ho3Er4Cd4 after structural relaxation. Source: Alexandria via LeMat-Bulk, functional PBE.

POSCAR file:
```
Ho3Er4Cd4
1.0
-2.150 4.741 0.893
-5.724 -3.057 2.449
7.253 -0.806 6.123
Cd Er Ho
4 4 3
Cartesian
1.075 2.394 5.502
-5.602 -0.047 2.383
-1.697 -1.516 3.963
-2.272 1.731 0.959
3.470 0.751 4.365
-4.091 0.126 5.100
0.741 -0.706 5.533
-1.363 1.584 3.932
-2.862 -1.529 1.224
-1.308 0.870 7.852
0.686 0.007 1.613
```

Calculated values
formation enthalpy at 0 K = -0.090 eV per atom
total energy = -3.33 eV/atom
calculated density = 8.63 g/cm3

HoEr7Cd2 after structural relaxation. Source: Alexandria via LeMat-Bulk, functional PBE.

POSCAR file:
```
HoEr7Cd2
1.0
-0.967 4.195 -2.877
-8.621 -2.478 -0.716
2.735 5.269 6.763
Er Cd Ho
7 2 1
Cartesian
-3.426 3.493 1.585
-3.976 5.283 4.378
-0.232 3.508 0.533
-6.098 -0.757 0.946
-2.877 1.703 -1.209
-6.621 3.478 2.636
0.211 3.547 5.101
-5.649 1.977 0.121
-1.204 5.009 3.048
0.000 0.000 0.000
```

Calculated values
formation enthalpy at 0 K = 0.421 eV per atom
total energy = -3.41 eV/atom
calculated density = 7.20 g/cm3

HoErCd5 after structural relaxation. Source: Alexandria via LeMat-Bulk, functional PBE.

POSCAR file:
```
HoErCd5
1.0
5.096 0.000 0.000
0.000 5.096 0.000
0.000 0.000 6.943
Er Cd Ho
1 5 1
Cartesian
2.548 2.548 0.000
2.548 0.000 1.621
0.000 2.548 1.620
2.548 2.548 3.472
0.000 2.548 5.323
2.548 0.000 5.323
0.000 0.000 3.472
```

Calculated values
formation enthalpy at 0 K = -0.078 eV per atom
total energy = -2.04 eV/atom
calculated density = 8.24 g/cm3

HoErCd14 after structural relaxation. Source: Alexandria via LeMat-Bulk, functional PBE.

POSCAR file:
```
HoErCd14
1.0
6.572 -0.014 0.000
0.014 6.572 0.000
0.000 0.000 8.508
Cd Ho Er
14 1 1
Cartesian
0.826 0.822 6.439
4.114 4.097 6.439
0.833 4.104 2.068
5.763 5.739 0.000
0.833 4.104 6.440
0.826 0.822 2.069
2.470 2.459 0.000
2.477 5.746 4.254
5.756 2.453 0.000
4.107 0.815 2.068
4.107 0.815 6.440
4.114 4.097 2.069
5.756 2.453 4.254
2.477 5.745 0.000
5.763 5.739 4.254
2.470 2.459 4.254
```

Calculated values
formation enthalpy at 0 K = -0.129 eV per atom
total energy = -1.50 eV/atom
calculated density = 8.61 g/cm3

HoEr7Cd4 after structural relaxation. Source: Alexandria via LeMat-Bulk, functional PBE.

POSCAR file:
```
HoEr7Cd4
1.0
-1.694 0.779 5.344
-3.922 -7.510 2.849
4.680 -3.731 5.025
Er Cd Ho
7 4 1
Cartesian
-1.435 -2.518 5.907
0.498 -7.944 7.312
-1.156 -5.350 3.411
0.220 -5.112 9.807
-0.847 0.390 2.672
1.375 -2.480 3.795
-2.312 -7.982 9.423
0.879 -4.084 6.869
-1.780 -2.393 2.782
-1.816 -6.377 6.349
0.843 -8.068 10.436
0.000 0.000 0.000
```

Calculated values
formation enthalpy at 0 K = 0.025 eV per atom
total energy = -3.32 eV/atom
calculated density = 8.78 g/cm3

HoEr3Cd6 after structural relaxation. Source: Alexandria via LeMat-Bulk, functional PBE.

POSCAR file:
```
HoEr3Cd6
1.0
-4.474 -0.412 -2.478
-1.334 -8.191 3.772
-4.505 7.211 6.934
Cd Er Ho
12 6 2
Cartesian
-5.072 -7.351 2.413
-8.126 -1.516 6.956
-2.187 0.123 1.272
-3.629 -4.844 4.702
-5.179 -0.388 6.759
-3.686 1.508 3.748
-5.241 5.959 5.815
-6.627 -2.900 4.480
-6.684 3.452 3.526
-2.150 -3.102 1.743
-5.134 -1.005 1.468
-8.163 1.710 6.485
-5.165 2.751 6.212
-2.140 -6.307 2.257
-3.602 -1.612 4.116
-8.173 4.915 5.971
-6.711 0.219 4.112
-5.148 -4.144 2.016
-5.112 -3.467 7.152
-5.200 2.074 1.076
```

Calculated values
formation enthalpy at 0 K = -0.281 eV per atom
total energy = -2.66 eV/atom
calculated density = 9.01 g/cm3

Ho3ErCd2 after structural relaxation. Source: Alexandria via LeMat-Bulk, functional PBE.

POSCAR file:
```
Ho3ErCd2
1.0
3.582 0.000 0.000
0.000 3.582 0.000
0.000 0.000 12.975
Ho Cd Er
3 2 1
Cartesian
0.000 0.000 0.000
0.000 0.000 4.038
0.000 0.000 8.937
1.791 1.791 10.983
1.791 1.791 1.992
1.791 1.791 6.488
```

Calculated values
formation enthalpy at 0 K = -0.192 eV per atom
total energy = -3.55 eV/atom
calculated density = 8.85 g/cm3

Ho8ErCd6 after structural relaxation. Source: Alexandria via LeMat-Bulk, functional PBE.

POSCAR file:
```
Ho8ErCd6
1.0
-3.817 -0.870 -8.014
2.763 -6.381 -5.586
-4.618 -6.424 -2.066
Ho Cd Er
8 6 1
Cartesian
-5.679 -5.609 -8.264
-3.105 -4.102 -6.345
-2.211 -7.160 -4.787
-0.709 -4.840 -9.064
-4.964 -8.836 -6.603
0.006 -8.066 -7.402
-2.567 -9.574 -9.322
-3.461 -6.515 -10.880
-0.451 -7.590 -10.549
-5.221 -6.086 -5.118
-2.106 -10.056 -6.180
-0.093 -5.174 -6.007
-3.566 -3.619 -9.487
-5.579 -8.501 -9.660
0.000 0.000 0.000
```

Calculated values
formation enthalpy at 0 K = -0.063 eV per atom
total energy = -3.18 eV/atom
calculated density = 8.20 g/cm3

What is the calculated density in the sixth record?
9.01 g/cm3

What is the formula in the seventh record?
Ho3ErCd2

The lowest calculated density belongs to which entry?
HoEr7Cd2